Here is a relaxed CaZrCr2O8 crystal from Alexandria. Energies are from PBE+U. Values from VASP.

Structure (Quantum ESPRESSO input):
```
&SYSTEM
  ibrav = 0, nat = 12, ntyp = 4
/
ATOMIC_SPECIES
O 16.00 O.upf
Zr 91.22 Zr.upf
Cr 52.00 Cr.upf
Ca 40.08 Ca.upf
CELL_PARAMETERS angstrom
5.900 -0.029 0.000
-2.642 5.275 0.000
-1.629 -2.623 5.027
ATOMIC_POSITIONS crystal
O 0.388 0.084 0.304
O 0.780 0.084 0.696
O 0.866 0.689 0.178
Zr 0.000 0.000 0.000
O 0.311 0.489 0.178
O 0.511 0.689 0.822
Cr 0.500 0.500 0.000
O 0.916 0.220 0.304
O 0.916 0.612 0.696
O 0.311 0.134 0.822
Ca 0.250 0.750 0.500
Cr 0.750 0.250 0.500
```

Summary:
- Uncorrected energy: -90.35 eV/cell
- Size of the total moment: 0.167 μB per atom
- Space group: I-4m2